First-principles (GGA-PBE) data for a relaxed Ho2Zn16Cu crystal, as listed in the Alexandria database.

Properties
**Calculated total energy**: -1.994 eV per atom
**Formation enthalpy at 0 K**: -5.2 kcal/mol of atoms
**Calculated volume**: 302 Å³ per cell

Lattice parameters (Å, degrees): 6.761 6.761 6.761 82.64 82.64 82.64
Element x y z (fractional)
Ho1 0.000 0.000 0.000
Ho2 0.332 0.332 0.332
Zn1 0.019 0.019 0.509
Zn2 0.019 0.509 0.019
Zn3 0.162 0.670 0.670
Zn4 0.313 0.313 0.829
Zn5 0.313 0.829 0.313
Zn6 0.373 0.667 0.962
Zn7 0.373 0.962 0.667
Zn8 0.509 0.019 0.019
Zn9 0.568 0.568 0.568
Zn10 0.667 0.373 0.962
Zn11 0.667 0.962 0.373
Zn12 0.670 0.162 0.670
Zn13 0.670 0.670 0.162
Zn14 0.829 0.313 0.313
Zn15 0.962 0.373 0.667
Zn16 0.962 0.667 0.373
Cu1 0.767 0.767 0.767

First-principles (GGA-PBE) data for a relaxed Ac8La3Sm2 crystal, as listed in the Alexandria database.

Properties
**Calculated total energy**: -4.189 eV per atom
**Formation enthalpy at 0 K**: 4.7 kcal/mol of atoms
**Calculated volume**: 559 Å³ per cell

Lattice parameters (Å, degrees): 11.546 11.546 6.212 90.01 90.01 42.44
Element x y z (fractional)
Ac1 0.105 0.681 0.000
Ac2 0.176 0.176 0.501
Ac3 0.319 0.895 0.000
Ac4 0.365 0.365 0.500
Ac5 0.635 0.635 0.500
Ac6 0.681 0.105 0.000
Ac7 0.824 0.824 0.499
Ac8 0.895 0.319 0.000
La1 0.204 0.796 0.500
La2 0.500 0.500 0.000
La3 0.796 0.204 0.500
Sm1 0.258 0.258 0.001
Sm2 0.742 0.742 0.999

First-principles (GGA-PBE) data for a relaxed WSe2 crystal, as listed in the Alexandria database.

Properties
**Calculated total energy**: -6.082 eV per atom
**Calculated volume**: 61 Å³ per cell

Lattice parameters (Å, degrees): 4.452 4.452 3.072 90.00 90.00 90.00
Element x y z (fractional)
W1 0.000 0.000 0.000
Se1 0.000 0.500 0.500
Se2 0.500 0.000 0.500

First-principles (GGA-PBE) data for a relaxed SnP3H crystal, as listed in the Alexandria database.

Properties
**Calculated total energy**: -3.041 eV per atom
**E above lowest polymorph**: 894.4 meV per atom
**Calculated volume**: 135 Å³ per cell

Lattice parameters (Å, degrees): 5.127 5.127 5.127 90.00 90.00 90.00
Element x y z (fractional)
Sn1 0.000 0.000 0.000
P1 0.000 0.000 0.500
P2 0.000 0.500 0.000
P3 0.500 0.000 0.000
H1 0.500 0.500 0.500

First-principles (GGA-PBE) data for a relaxed Pr2Al7Au crystal, as listed in the Alexandria database.

Properties
**Calculated total energy**: -4.347 eV per atom
**Formation enthalpy at 0 K**: -10.2 kcal/mol of atoms
**Calculated volume**: 207 Å³ per cell

Lattice parameters (Å, degrees): 4.314 4.314 11.116 90.00 90.00 90.00
Element x y z (fractional)
Pr1 0.000 0.500 0.249
Pr2 0.500 0.000 0.751
Al1 0.000 0.000 0.000
Al2 0.000 0.500 0.633
Al3 0.000 0.500 0.861
Al4 0.500 0.000 0.139
Al5 0.500 0.000 0.367
Al6 0.500 0.500 0.000
Al7 0.500 0.500 0.500
Au1 0.000 0.000 0.500

First-principles (GGA-PBE) data for a relaxed Y2ScPb crystal, as listed in the Alexandria database.

Properties
**Calculated total energy**: -5.874 eV per atom
**Formation enthalpy at 0 K**: -3.0 kcal/mol of atoms
**Calculated volume**: 117 Å³ per cell

Lattice parameters (Å, degrees): 10.918 10.918 10.918 18.72 18.72 18.72
Element x y z (fractional)
Y1 0.250 0.250 0.250
Y2 0.750 0.750 0.750
Sc1 0.500 0.500 0.500
Pb1 0.000 0.000 0.000